Record 1
# AgSb (PBE, optimized geometry)
data_AgSb
_chemical_formula_sum 'Ag2 Sb2'
_cell_length_a 3.211
_cell_length_b 3.211
_cell_length_c 10.384
_cell_angle_alpha 90.00
_cell_angle_beta 90.00
_cell_angle_gamma 120.00
_space_group_name_H-M_alt 'P 1'
_space_group_IT_number 1
_space_group_name_Hall 'P 1'
loop_
_atom_site_label
_atom_site_fract_x
_atom_site_fract_y
_atom_site_fract_z
Ag1 0.333 0.667 0.108
Ag2 0.667 0.333 0.892
Sb1 0.333 0.667 0.663
Sb2 0.667 0.333 0.337
# DFT total energy = -3.328 eV/atom
# Formation energy (no corrections) = 15 kJ per mole of atoms
# Excess energy over the best structure of this formula in the dataset = 7.7 kJ per mole of atoms


Record 2
# LaEr15Sc4 (PBE, optimized geometry)
data_LaEr15Sc4
_chemical_formula_sum 'La1 Er15 Sc4'
_cell_length_a 4.907
_cell_length_b 4.907
_cell_length_c 24.562
_cell_angle_alpha 90.00
_cell_angle_beta 90.00
_cell_angle_gamma 90.00
_space_group_name_H-M_alt 'P 1'
_space_group_IT_number 1
_space_group_name_Hall 'P 1'
loop_
_atom_site_label
_atom_site_fract_x
_atom_site_fract_y
_atom_site_fract_z
La1 0.000 0.000 0.000
Er1 0.000 0.500 0.106
Er2 0.000 0.500 0.303
Er3 0.000 0.500 0.500
Er4 0.000 0.500 0.697
Er5 0.000 0.500 0.894
Er6 0.500 0.000 0.106
Er7 0.500 0.000 0.303
Er8 0.500 0.000 0.500
Er9 0.500 0.000 0.697
Er10 0.500 0.000 0.894
Er11 0.500 0.500 0.000
Er12 0.500 0.500 0.206
Er13 0.500 0.500 0.402
Er14 0.500 0.500 0.598
Er15 0.500 0.500 0.794
Sc1 0.000 0.000 0.204
Sc2 0.000 0.000 0.402
Sc3 0.000 0.000 0.598
Sc4 0.000 0.000 0.796
# DFT total energy = -4.890 eV/atom
# DFT formation energy = 0.89 eV per formula unit


Record 3
# Sr2RuBr (PBE, optimized geometry)
data_Sr2RuBr
_chemical_formula_sum 'Sr2 Ru1 Br1'
_cell_length_a 8.838
_cell_length_b 8.838
_cell_length_c 8.838
_cell_angle_alpha 155.66
_cell_angle_beta 154.91
_cell_angle_gamma 35.24
_space_group_name_H-M_alt 'P 1'
_space_group_IT_number 1
_space_group_name_Hall 'P 1'
loop_
_atom_site_label
_atom_site_fract_x
_atom_site_fract_y
_atom_site_fract_z
Sr1 0.000 0.000 0.000
Sr2 0.780 0.280 0.500
Ru1 0.370 0.870 0.500
Br1 0.613 0.613 0.000
# DFT total energy = -3.899 eV/atom
# Formation energy (no corrections) = -31 kJ per mole of atoms
# Excess energy over the best structure of this formula in the dataset = 10.8 kJ per mole of atoms


Record 4
# Sm4P3PtRh12 (PBE, optimized geometry)
data_Sm4P3PtRh12
_chemical_formula_sum 'Sm4 P3 Pt1 Rh12'
_cell_length_a 7.882
_cell_length_b 7.882
_cell_length_c 7.882
_cell_angle_alpha 109.47
_cell_angle_beta 109.47
_cell_angle_gamma 109.47
_space_group_name_H-M_alt 'P 1'
_space_group_IT_number 1
_space_group_name_Hall 'P 1'
loop_
_atom_site_label
_atom_site_fract_x
_atom_site_fract_y
_atom_site_fract_z
Sm1 0.000 0.000 0.500
Sm2 0.000 0.500 0.000
Sm3 0.500 0.000 0.000
Sm4 0.500 0.500 0.500
P1 0.000 0.500 0.500
P2 0.500 0.000 0.500
P3 0.500 0.500 0.000
Pt1 0.000 0.000 0.000
Rh1 0.000 0.271 0.271
Rh2 0.000 0.729 0.729
Rh3 0.250 0.500 0.750
Rh4 0.250 0.750 0.500
Rh5 0.271 0.000 0.271
Rh6 0.271 0.271 0.000
Rh7 0.500 0.250 0.750
Rh8 0.500 0.750 0.250
Rh9 0.729 0.000 0.729
Rh10 0.729 0.729 0.000
Rh11 0.750 0.250 0.500
Rh12 0.750 0.500 0.250
# DFT total energy = -6.951 eV/atom
# DFT formation energy = -9.65 eV per formula unit


Record 5
# CeNd3Hg6 (PBE, optimized geometry)
data_CeNd3Hg6
_chemical_formula_sum 'Ce2 Nd6 Hg12'
_cell_length_a 9.521
_cell_length_b 5.276
_cell_length_c 11.421
_cell_angle_alpha 90.00
_cell_angle_beta 106.87
_cell_angle_gamma 90.00
_space_group_name_H-M_alt 'P 1'
_space_group_IT_number 1
_space_group_name_Hall 'P 1'
loop_
_atom_site_label
_atom_site_fract_x
_atom_site_fract_y
_atom_site_fract_z
Ce1 0.064 0.250 0.384
Ce2 0.936 0.750 0.616
Nd1 0.227 0.250 0.006
Nd2 0.353 0.750 0.797
Nd3 0.492 0.250 0.614
Nd4 0.508 0.750 0.386
Nd5 0.647 0.250 0.203
Nd6 0.773 0.750 0.994
Hg1 0.061 0.750 0.903
Hg2 0.138 0.750 0.203
Hg3 0.163 0.250 0.685
Hg4 0.238 0.750 0.509
Hg5 0.346 0.250 0.294
Hg6 0.462 0.750 0.090
Hg7 0.538 0.250 0.910
Hg8 0.654 0.750 0.706
Hg9 0.762 0.250 0.491
Hg10 0.837 0.750 0.315
Hg11 0.862 0.250 0.797
Hg12 0.939 0.250 0.097
# DFT total energy = -2.604 eV/atom
# DFT formation energy = -3.99 eV per formula unit


Record 6
# TiAs2WBr (PBE, optimized geometry)
data_TiAs2WBr
_chemical_formula_sum 'Ti1 As2 W1 Br1'
_cell_length_a 4.849
_cell_length_b 4.849
_cell_length_c 5.345
_cell_angle_alpha 90.00
_cell_angle_beta 90.00
_cell_angle_gamma 90.00
_space_group_name_H-M_alt 'P 1'
_space_group_IT_number 1
_space_group_name_Hall 'P 1'
loop_
_atom_site_label
_atom_site_fract_x
_atom_site_fract_y
_atom_site_fract_z
Ti1 0.000 0.000 0.000
As1 0.000 0.500 0.500
As2 0.500 0.000 0.500
W1 0.500 0.500 0.500
Br1 0.500 0.500 0.000
# DFT total energy = -5.643 eV/atom
# Formation energy (no corrections) = 70 kJ per mole of atoms
# Excess energy over the best structure of this formula in the dataset = 0.0 kJ per mole of atoms


Record 7
# AsPbBr3 (PBE, optimized geometry)
data_AsPbBr3
_chemical_formula_sum 'As1 Pb1 Br3'
_cell_length_a 5.834
_cell_length_b 5.834
_cell_length_c 5.834
_cell_angle_alpha 90.00
_cell_angle_beta 90.00
_cell_angle_gamma 90.00
_space_group_name_H-M_alt 'P 1'
_space_group_IT_number 1
_space_group_name_Hall 'P 1'
loop_
_atom_site_label
_atom_site_fract_x
_atom_site_fract_y
_atom_site_fract_z
As1 0.000 0.000 0.000
Pb1 0.500 0.500 0.500
Br1 0.000 0.500 0.500
Br2 0.500 0.000 0.500
Br3 0.500 0.500 0.000
# DFT total energy = -2.594 eV/atom
# Formation energy (no corrections) = 8 kJ per mole of atoms
# Excess energy over the best structure of this formula in the dataset = 15.0 kJ per mole of atoms


Record 8
# Dy2YHg4 (PBE, optimized geometry)
data_Dy2YHg4
_chemical_formula_sum 'Dy2 Y1 Hg4'
_cell_length_a 8.636
_cell_length_b 8.636
_cell_length_c 8.636
_cell_angle_alpha 142.01
_cell_angle_beta 142.01
_cell_angle_gamma 54.82
_space_group_name_H-M_alt 'P 1'
_space_group_IT_number 1
_space_group_name_Hall 'P 1'
loop_
_atom_site_label
_atom_site_fract_x
_atom_site_fract_y
_atom_site_fract_z
Dy1 0.102 0.102 0.000
Dy2 0.898 0.898 0.000
Y1 0.500 0.500 0.000
Hg1 0.000 0.500 0.500
Hg2 0.301 0.301 0.000
Hg3 0.500 0.000 0.500
Hg4 0.699 0.699 0.000
# DFT total energy = -2.370 eV/atom
# Excess energy over the best structure of this formula in the dataset = 37.1 kJ per mole of atoms
# DFT formation energy = 0.29 eV per formula unit